(1)
Gd2ErRh | GGA-PBE | optimized geometry

a b c (Å): 3.639 3.639 10.684
angles (deg): 80.19 80.19 60.00
Site moments in Bohr magnetons follow the coordinates.
Element x y z (fractional)
Gd 0.891 0.891 0.328  -7.11
Gd 0.109 0.109 0.672  -7.11
Rh 0.500 0.500 0.500  0.06
Er 0.000 0.000 0.000  -0.29

Output
**Formation energy**: -0.120 eV per atom
**Volume**: 30.031 Å³ per atom
**Offset from the most stable computed form**: 237 meV/atom
**N(E_F)**: 1.173 states/eV/atom

---

(2)
BaY2P | GGA-PBE | optimized geometry

a b c (Å): 6.167 6.167 6.167
angles (deg): 134.96 134.96 65.60
Element x y z (fractional)
P 0.000 0.000 0.000
Y 0.250 0.750 0.500
Ba 0.500 0.500 0.000
Y 0.750 0.250 0.500

Output
**Formation energy**: -0.056 eV per atom
**Volume**: 28.918 Å³ per atom
**N(E_F)**: 1.158 states/eV/atom